i) Below is SrTe3Cl after structural relaxation, with properties calculated at the PBE-GGA level.

Geometry as extended XYZ:
```
5
Lattice="5.527 0.000 0.000 0.000 5.527 0.000 0.000 0.000 5.527" Properties=species:S:1:pos:R:3 pbc="T T T"
Sr 0.000 0.000 0.000
Te 0.000 2.763 2.763
Te 2.763 0.000 2.763
Te 2.763 2.763 0.000
Cl 2.763 2.763 2.763
```

**M_tot**: 0.0 μB per formula unit

***

ii) Below is SrTe3Cl after structural relaxation, with properties calculated at the PBE-GGA level.

Geometry as extended XYZ:
```
5
Lattice="6.427 0.000 0.000 0.000 6.427 0.000 0.000 0.000 6.427" Properties=species:S:1:pos:R:3 pbc="T T T"
Sr 0.000 0.000 0.000
Te 0.000 0.000 3.213
Te 0.000 3.213 0.000
Te 3.213 0.000 0.000
Cl 3.213 3.213 3.213
```

**M_tot**: 5.0 μB per formula unit

***

Relative energies with respect to the most stable structure, expressed in meV per atom: i) 0; ii) 449.

***

i) Below is SrTeCl3 after structural relaxation, with properties calculated at the PBE-GGA level.

Geometry as extended XYZ:
```
5
Lattice="5.677 0.000 0.000 0.000 5.677 0.000 0.000 0.000 5.677" Properties=species:S:1:pos:R:3 pbc="T T T"
Sr 0.000 0.000 0.000
Te 2.838 2.838 2.838
Cl 0.000 0.000 2.838
Cl 0.000 2.838 0.000
Cl 2.838 0.000 0.000
```

**M_tot**: 3.0 μB per formula unit

***

ii) Below is SrTeCl3 after structural relaxation, with properties calculated at the PBE-GGA level.

Geometry as extended XYZ:
```
5
Lattice="5.629 0.000 0.000 0.000 5.629 0.000 0.000 0.000 5.629" Properties=species:S:1:pos:R:3 pbc="T T T"
Sr 0.000 0.000 0.000
Te 2.815 2.815 2.815
Cl 0.000 2.815 2.815
Cl 2.815 0.000 2.815
Cl 2.815 2.815 0.000
```

**M_tot**: 0.0 μB per formula unit

***

Relative energies with respect to the most stable structure, expressed in meV per atom: i) 0; ii) 389.

***

i) Below is Sr2TiCl after structural relaxation, with properties calculated at the PBE-GGA level.

Geometry as extended XYZ:
```
4
Lattice="0.000 4.116 4.116 4.116 0.000 4.116 4.116 4.116 0.000" Properties=species:S:1:pos:R:3 pbc="T T T"
Sr 2.058 2.058 2.058
Sr 6.174 6.174 6.174
Ti 0.000 0.000 0.000
Cl 4.116 4.116 4.116
```

**M_tot**: 4.9 μB per formula unit

***

ii) Below is Sr2TiCl after structural relaxation, with properties calculated at the PBE-GGA level.

Geometry as extended XYZ:
```
8
Lattice="-4.337 4.337 4.024 4.337 -4.337 4.024 4.337 4.337 -4.024" Properties=species:S:1:pos:R:3 pbc="T T T"
Sr 6.506 1.698 -1.006
Sr 1.698 2.169 1.006
Sr -2.169 2.639 3.018
Sr 2.639 2.169 5.030
Ti 4.337 0.000 2.012
Ti 0.000 0.000 4.024
Cl 0.000 0.000 0.000
Cl 0.000 4.337 2.012
```

**M_tot**: 3.7 μB per formula unit

***

Relative energies with respect to the most stable structure, expressed in meV per atom: i) 186; ii) 0.

***

i) Below is SrTi3Cl after structural relaxation, with properties calculated at the PBE-GGA level.

Geometry as extended XYZ:
```
5
Lattice="4.742 0.000 0.000 0.000 4.742 0.000 0.000 0.000 4.742" Properties=species:S:1:pos:R:3 pbc="T T T"
Sr 0.000 0.000 0.000
Ti 0.000 2.371 2.371
Ti 2.371 0.000 2.371
Ti 2.371 2.371 0.000
Cl 2.371 2.371 2.371
```

**M_tot**: 0.9 μB per formula unit

***

ii) Below is SrTi3Cl after structural relaxation, with properties calculated at the PBE-GGA level.

Geometry as extended XYZ:
```
5
Lattice="5.083 0.000 0.000 0.000 5.083 0.000 0.000 0.000 5.083" Properties=species:S:1:pos:R:3 pbc="T T T"
Sr 0.000 0.000 0.000
Ti 0.000 0.000 2.541
Ti 0.000 2.541 0.000
Ti 2.541 0.000 0.000
Cl 2.541 2.541 2.541
```

**M_tot**: 2.9 μB per formula unit

***

Relative energies with respect to the most stable structure, expressed in meV per atom: i) 0; ii) 1745.

***

i) Below is Sr3Tl5Cl12 after structural relaxation, with properties calculated at the PBE-GGA level.

Geometry as extended XYZ:
```
20
Lattice="12.905 0.000 0.000 -6.453 11.176 0.000 0.000 0.000 4.467" Properties=species:S:1:pos:R:3 pbc="T T T"
Sr -4.334 7.506 0.000
Sr 2.119 3.670 0.000
Sr 8.667 0.000 0.000
Tl -1.884 3.263 2.234
Tl 3.768 0.000 2.234
Tl 0.000 7.451 2.234
Tl 6.453 3.725 2.234
Tl 4.569 7.913 2.234
Cl -3.420 5.924 2.234
Cl -5.280 9.146 2.234
Cl 1.172 2.031 2.234
Cl -0.437 5.040 0.000
Cl -1.870 9.035 0.000
Cl 4.583 2.142 0.000
Cl 3.032 5.252 2.234
Cl 6.841 0.000 2.234
Cl 2.306 8.278 0.000
Cl 6.016 6.136 0.000
Cl 8.759 2.898 0.000
Cl 10.560 0.000 2.234
```

**M_tot**: 0.0 μB per formula unit

***

ii) Below is Sr3Tl5Cl12 after structural relaxation, with properties calculated at the PBE-GGA level.

Geometry as extended XYZ:
```
80
Lattice="-8.844 8.844 8.844 8.844 -8.844 8.844 8.844 8.844 -8.844" Properties=species:S:1:pos:R:3 pbc="T T T"
Sr 4.422 2.211 0.000
Sr 8.844 4.422 -2.211
Sr 2.211 0.000 4.422
Sr 11.055 0.000 4.422
Sr 0.000 4.422 2.211
Sr 4.422 -2.211 8.844
Sr 4.422 11.055 0.000
Sr 8.844 4.422 6.633
Sr -2.211 8.844 4.422
Sr 6.633 8.844 4.422
Sr 0.000 4.422 11.055
Sr 4.422 6.633 8.844
Tl 0.000 0.000 0.000
Tl 4.422 4.422 -4.422
Tl 4.422 -4.422 4.422
Tl 8.844 0.000 0.000
Tl 13.266 2.211 0.000
Tl 8.844 -4.422 6.633
Tl 6.633 8.844 -4.422
Tl 6.633 0.000 4.422
Tl 4.422 6.633 0.000
Tl 8.844 4.422 2.211
Tl -4.422 4.422 4.422
Tl 0.000 8.844 0.000
Tl 0.000 0.000 8.844
Tl 4.422 4.422 4.422
Tl 0.000 4.422 6.633
Tl 4.422 2.211 8.844
Tl 2.211 8.844 4.422
Tl 2.211 0.000 13.266
Tl 0.000 13.266 2.211
Tl -4.422 6.633 8.844
Cl 2.652 -0.286 1.438
Cl 10.614 5.860 -4.708
Cl 8.558 -1.438 2.652
Cl 13.552 -1.770 2.984
Cl 11.496 0.286 1.438
Cl 10.614 -2.984 4.708
Cl 1.438 2.652 -0.286
Cl 11.828 4.136 -1.770
Cl 5.860 4.708 -1.770
Cl 7.406 2.652 0.286
Cl -0.286 1.438 2.652
Cl 4.708 -1.770 5.860
Cl 8.558 7.406 -2.652
Cl 4.708 1.770 2.984
Cl 7.406 -2.652 8.558
Cl 5.860 -4.708 10.614
Cl 2.984 4.708 1.770
Cl 10.282 6.192 0.286
Cl 2.652 8.558 -1.438
Cl 10.614 2.984 4.136
Cl 4.708 10.614 -2.984
Cl 8.558 1.438 6.192
Cl 1.770 2.984 4.708
Cl 2.652 0.286 7.406
Cl 6.192 8.558 1.438
Cl 7.074 5.860 4.136
Cl 0.286 7.406 2.652
Cl 4.136 -1.770 11.828
Cl -1.770 5.860 4.708
Cl 6.192 0.286 10.282
Cl -1.438 2.652 8.558
Cl 5.860 4.136 7.074
Cl 2.984 13.552 -1.770
Cl 1.438 11.496 0.286
Cl 4.136 7.074 5.860
Cl 0.286 1.438 11.496
Cl 4.136 10.614 2.984
Cl 9.130 7.406 6.192
Cl 1.438 6.192 8.558
Cl 2.984 4.136 10.614
Cl -2.984 4.708 10.614
Cl 7.406 6.192 9.130
Cl -1.770 11.828 4.136
Cl -2.652 8.558 7.406
Cl -4.708 10.614 5.860
Cl 0.286 10.282 6.192
Cl -1.770 2.984 13.552
Cl 6.192 9.130 7.406
```

**M_tot**: 0.0 μB per formula unit

***

Relative energies with respect to the most stable structure, expressed in meV per atom: i) 0; ii) 105.

***

i) Below is SrTlCl2 after structural relaxation, with properties calculated at the PBE-GGA level.

Geometry as extended XYZ:
```
4
Lattice="4.249 0.000 0.000 0.000 4.500 0.000 0.000 0.000 6.143" Properties=species:S:1:pos:R:3 pbc="T T T"
Sr 0.000 0.000 0.000
Tl 2.125 0.000 3.072
Cl 0.000 2.250 3.072
Cl 2.125 2.250 0.000
```

**M_tot**: 0.7 μB per formula unit

***

ii) Below is SrTlCl2 after structural relaxation, with properties calculated at the PBE-GGA level.

Geometry as extended XYZ:
```
4
Lattice="3.570 -3.574 0.000 3.570 3.574 0.000 0.000 0.000 4.362" Properties=species:S:1:pos:R:3 pbc="T T T"
Sr 0.000 0.000 0.000
Tl 3.570 0.000 0.000
Cl 1.785 1.787 2.181
Cl 1.785 -1.787 2.181
```

**M_tot**: 0.0 μB per formula unit

***

iii) Below is SrTlCl2 after structural relaxation, with properties calculated at the PBE-GGA level.

Geometry as extended XYZ:
```
4
Lattice="2.337 1.350 9.143 -2.337 1.350 9.143 0.000 -2.699 9.143" Properties=species:S:1:pos:R:3 pbc="T T T"
Sr 0.000 0.000 0.000
Tl 0.000 0.000 13.714
Cl 0.000 0.000 2.765
Cl 0.000 0.000 24.663
```

**M_tot**: 0.0 μB per formula unit

***

Relative energies with respect to the most stable structure, expressed in meV per atom: i) 0; ii) 36; iii) 93.

***

i) Below is SrTlCl4 after structural relaxation, with properties calculated at the PBE-GGA level.

Geometry as extended XYZ:
```
12
Lattice="-4.779 4.779 4.359 4.779 -4.779 4.359 4.779 4.779 -4.359" Properties=species:S:1:pos:R:3 pbc="T T T"
Sr 0.000 0.000 0.000
Sr 0.000 4.779 2.179
Tl 4.779 0.000 2.120
Tl 0.000 0.000 4.300
Cl 4.779 1.963 0.080
Cl 2.815 4.779 -2.099
Cl 1.963 0.000 2.260
Cl 4.779 -1.866 4.329
Cl 4.779 1.866 4.329
Cl 2.913 4.779 2.150
Cl 1.866 0.000 6.508
Cl 0.000 2.815 4.439
```

**M_tot**: 0.0 μB per formula unit

***

ii) Below is SrTlCl4 after structural relaxation, with properties calculated at the PBE-GGA level.

Geometry as extended XYZ:
```
6
Lattice="0.000 4.356 4.356 4.356 0.000 4.356 4.356 4.356 0.000" Properties=species:S:1:pos:R:3 pbc="T T T"
Sr 0.000 0.000 0.000
Tl 6.534 6.534 6.534
Cl 3.265 3.265 3.265
Cl 5.448 5.448 3.265
Cl 5.448 3.265 5.448
Cl 3.265 5.448 5.448
```

**M_tot**: 1.0 μB per formula unit

***

Relative energies with respect to the most stable structure, expressed in meV per atom: i) 0; ii) 800.

***

i) Below is SrUCl6 after structural relaxation, with properties calculated at the PBE-GGA level.

Geometry as extended XYZ:
```
8
Lattice="6.970 0.000 0.000 3.483 6.045 0.000 3.485 2.007 6.439" Properties=species:S:1:pos:R:3 pbc="T T T"
Sr 0.000 0.000 0.000
U 6.969 4.026 3.220
Cl 4.826 4.004 4.759
Cl 5.879 5.871 1.687
Cl 8.020 5.893 4.753
Cl 5.917 2.159 1.687
Cl 8.059 2.181 4.753
Cl 9.111 4.048 1.680
```

**M_tot**: 2.0 μB per formula unit

***

ii) Below is SrUCl6 after structural relaxation, with properties calculated at the PBE-GGA level.

Geometry as extended XYZ:
```
8
Lattice="3.510 -6.071 0.000 3.510 6.071 0.000 -1.790 0.000 6.745" Properties=species:S:1:pos:R:3 pbc="T T T"
Sr 0.000 0.000 0.000
U 2.615 0.000 3.373
Cl 1.486 1.789 1.796
Cl 0.481 0.000 4.915
Cl 1.486 -1.789 1.796
Cl 3.745 1.789 4.949
Cl 4.749 0.000 1.830
Cl 3.745 -1.789 4.949
```

**M_tot**: 2.0 μB per formula unit

***

Relative energies with respect to the most stable structure, expressed in meV per atom: i) 0; ii) 9.

***

i) Below is Sr2WCl after structural relaxation, with properties calculated at the PBE-GGA level.

Geometry as extended XYZ:
```
4
Lattice="4.460 0.000 0.000 0.000 4.460 0.000 0.000 0.000 6.369" Properties=species:S:1:pos:R:3 pbc="T T T"
Sr 0.000 0.000 0.000
Sr 2.230 2.230 3.155
W 2.230 2.230 6.342
Cl 0.000 0.000 3.172
```

**M_tot**: 3.0 μB per formula unit

***

ii) Below is Sr2WCl after structural relaxation, with properties calculated at the PBE-GGA level.

Geometry as extended XYZ:
```
4
Lattice="5.608 0.000 0.000 0.000 1.642 6.039 0.000 -1.642 6.039" Properties=species:S:1:pos:R:3 pbc="T T T"
Sr 0.000 0.000 0.000
Sr 2.804 0.000 3.061
W 0.000 0.000 8.949
Cl 2.804 0.000 6.156
```

**M_tot**: 1.4 μB per formula unit

***

iii) Below is Sr2WCl after structural relaxation, with properties calculated at the PBE-GGA level.

Geometry as extended XYZ:
```
4
Lattice="3.381 0.000 0.000 0.000 3.381 0.000 -0.013 0.000 9.072" Properties=species:S:1:pos:R:3 pbc="T T T"
Sr -0.001 0.000 2.294
Sr 3.369 0.000 6.778
W 1.690 1.690 0.000
Cl 1.684 1.690 4.536
```

**M_tot**: 0.0 μB per formula unit

***

Relative energies with respect to the most stable structure, expressed in meV per atom: i) 337; ii) 240; iii) 0.

***

i) Below is Sr2W2Cl after structural relaxation, with properties calculated at the PBE-GGA level.

Geometry as extended XYZ:
```
10
Lattice="9.110 0.000 0.000 0.000 9.110 0.000 0.000 0.000 3.678" Properties=species:S:1:pos:R:3 pbc="T T T"
Sr 1.796 2.759 0.000
Sr 2.759 7.315 0.000
Sr 6.351 1.796 0.000
Sr 7.315 6.351 0.000
W 0.766 5.321 1.839
W 3.789 0.766 1.839
W 5.321 8.345 1.839
W 8.345 3.789 1.839
Cl 0.000 0.000 1.839
Cl 4.555 4.555 1.839
```

**M_tot**: 0.0 μB per formula unit

***

ii) Below is Sr2W2Cl after structural relaxation, with properties calculated at the PBE-GGA level.

Geometry as extended XYZ:
```
5
Lattice="-3.149 3.149 4.022 3.149 -3.149 4.022 3.149 3.149 -4.022" Properties=species:S:1:pos:R:3 pbc="T T T"
Sr 3.149 0.000 2.011
Sr 0.000 3.149 2.011
W 0.000 0.000 1.113
W 0.000 0.000 6.932
Cl 0.000 0.000 4.022
```

**M_tot**: 0.0 μB per formula unit

***

Relative energies with respect to the most stable structure, expressed in meV per atom: i) 0; ii) 341.